# 1
The following is a meta-GGA SCAN calculation of a crystal of CaOF3 relaxed with PBEsol, from the Alexandria database.

Cell: 3.9035 3.9035 3.9035 Å, 90.00 90.00 90.00°
Closest atoms and distances in Å follow each position.
Space group Pm-3m (No. 221)
One atom of each set of equivalent atoms:
1 Ca 0.0000 0.0000 0.0000  12 F 2.76
2 O 0.5000 0.5000 0.5000  6 F 1.95
3 F 0.0000 0.5000 0.5000  2 O 1.95

For the density of states at the Fermi level, the calculation gives 0.28 states/eV per atom. The uncorrected formation energy comes out at -1557.2 meV/atom.

---

# 2
The following is a meta-GGA SCAN calculation of a crystal of BiTeRhO2 relaxed with PBEsol, from the Alexandria database.

Cell: 3.9268 3.9268 6.2826 Å, 90.00 90.00 90.00°
Closest atoms and distances in Å follow each position.
Space group P4/mmm (No. 123)
One atom of each set of equivalent atoms:
1 Bi 0.0000 0.0000 0.0000  4 Rh 2.78
2 Te 0.0000 0.0000 0.5000  4 O 1.96
3 Rh 0.5000 0.5000 0.0000  4 Bi 2.78
4 O 0.0000 0.5000 0.5000  2 Te 1.96

For the density of states at the Fermi level, the calculation gives 0.38 states/eV per atom. The uncorrected formation energy comes out at -20.3 meV/atom.

---

# 3
The following is a meta-GGA SCAN calculation of a crystal of SrRePt2 relaxed with PBEsol, from the Alexandria database.

Cell: 2.8499 2.8499 29.4836 Å, 90.00 90.00 120.00°
Closest atoms and distances in Å follow each position.
Space group R3m (No. 160, hexagonal axes)
One atom of each set of equivalent atoms:
1 Sr 0.0000 0.0000 0.0000  6 Sr 2.85, 3 Pt 3.09
2 Re 0.0000 0.0000 0.2376  3 Pt 2.66, 6 Re 2.85
3 Pt 0.0000 0.0000 0.5000  3 Re 2.66, 9 Pt 2.82-2.85
4 Pt 0.0000 0.0000 0.7555  9 Pt 2.82-2.85, 3 Sr 3.09

For the formation energy, the calculation gives 203 kJ/mol of formula units. For the density of states at the Fermi level, the calculation gives 0.84 states/eV per atom. The distance to the lowest polymorph of the same formula is 0.656 eV/atom.

---

# 4
The following is a meta-GGA SCAN calculation of a crystal of YPdS2I relaxed with PBEsol, from the Alexandria database.

Cell: 4.9807 4.9807 5.6957 Å, 90.00 90.00 90.00°
Closest atoms and distances in Å follow each position.
Space group P4/mmm (No. 123)
One atom of each set of equivalent atoms:
1 Y 0.0000 0.0000 0.0000  2 I 2.85
2 Pd 0.5000 0.5000 0.0000  4 Y 3.52, 8 S 3.78
3 S 0.0000 0.5000 0.5000  2 I 2.49
4 I 0.0000 0.0000 0.5000  4 S 2.49

For the density of states at the Fermi level, the calculation gives 0.49 states/eV per atom. The uncorrected formation energy comes out at 749.1 meV/atom.

---

# 5
The following is a meta-GGA SCAN calculation of a crystal of Na2AuF relaxed with PBEsol, from the Alexandria database.

Cell: 6.6104 6.6104 7.5557 Å, 90.00 90.00 90.00°
Closest atoms and distances in Å follow each position.
Space group I-42d (No. 122)
One atom of each set of equivalent atoms:
1 Na 0.1563 0.7500 0.1250  2 F 2.17
2 Au 0.0000 0.0000 0.5000  4 Na 2.96
3 F 0.0000 0.0000 0.0000  4 Na 2.17

For the density of states at the Fermi level, the calculation gives 0.00 states/eV per atom. The uncorrected formation energy comes out at -1477.1 meV/atom.

---

# 6
The following is a meta-GGA SCAN calculation of a crystal of ScTcOs2 relaxed with PBEsol, from the Alexandria database.

Cell: 6.2031 6.2031 6.2031 Å, 90.00 90.00 90.00°
Closest atoms and distances in Å follow each position.
Space group F-43m (No. 216)
One atom of each set of equivalent atoms:
1 Sc 0.0000 0.0000 0.0000  4 Os 2.69, 4 Tc 2.69
2 Tc 0.2500 0.2500 0.7500  4 Os 2.69, 4 Sc 2.69
3 Os 0.0000 0.0000 0.5000  4 Tc 2.69, 4 Os 2.69
4 Os 0.2500 0.2500 0.2500  4 Os 2.69, 4 Sc 2.69

For the formation energy, the calculation gives 10 kJ/mol of formula units. For the density of states at the Fermi level, the calculation gives 0.98 states/eV per atom. The distance to the lowest polymorph of the same formula is 0.000 eV/atom.

---

# 7
The following is a meta-GGA SCAN calculation of a crystal of CsAgBr2 relaxed with PBEsol, from the Alexandria database.

Cell: 8.2026 8.2026 8.0558 Å, 90.00 90.00 90.00°
Closest atoms and distances in Å follow each position.
Space group I-42d (No. 122)
One atom of each set of equivalent atoms:
1 Cs 0.0000 0.0000 0.0000  8 Br 3.57-3.89
2 Ag 0.0000 0.0000 0.5000  4 Br 2.66
3 Br 0.1650 0.7500 0.6250  2 Ag 2.66

For the density of states at the Fermi level, the calculation gives 0.00 states/eV per atom. The uncorrected formation energy comes out at -1180.9 meV/atom. The distance to the lowest polymorph of the same formula is 0.031 eV/atom.

---

# 8
The following is a meta-GGA SCAN calculation of a crystal of LuCdPt2 relaxed with PBEsol, from the Alexandria database.

Cell: 6.5870 6.5870 6.5870 Å, 90.00 90.00 90.00°
Closest atoms and distances in Å follow each position.
Space group Fm-3m (No. 225)
One atom of each set of equivalent atoms:
1 Lu 0.0000 0.0000 0.0000  8 Pt 2.85
2 Cd 0.0000 0.0000 0.5000  8 Pt 2.85
3 Pt 0.2500 0.2500 0.2500  4 Cd 2.85, 4 Lu 2.85

For the formation energy, the calculation gives -382 kJ/mol of formula units. For the density of states at the Fermi level, the calculation gives 0.43 states/eV per atom.